P.
The following is a PBE-GGA calculation of crystalline CrC3 at its relaxed geometry, from Alexandria via LeMat-Bulk.

## Properties
As for the space group: Pmmm (47).

POSCAR file:
```
CrC3
1.0
2.606 0.000 0.000
0.000 7.435 0.000
0.000 0.000 2.863
C Cr
3 1
Cartesian
0.000 0.000 0.118
1.303 0.000 0.118
1.303 3.718 1.552
0.000 3.718 0.121
```

***

Q.
The following is a PBE-GGA calculation of crystalline CrC3 at its relaxed geometry, from Alexandria via LeMat-Bulk.

## Properties
As for the space group: Cmmm (65).

POSCAR file:
```
CrC3
1.0
3.463 0.014 0.000
-1.302 3.209 0.000
0.000 0.000 2.677
Cr C
1 3
Cartesian
0.000 0.000 0.000
-0.651 1.604 1.339
1.731 0.007 1.339
1.080 1.611 0.000
```

***

R.
The following is a PBE-GGA calculation of crystalline CrC3 at its relaxed geometry, from Alexandria via LeMat-Bulk.

## Properties
As for the space group: R-3m (166).

POSCAR file:
```
CrC3
1.0
5.209 0.006 0.004
4.592 2.459 0.004
4.592 1.155 2.171
C Cr
3 1
Cartesian
11.037 2.776 1.670
7.196 1.810 1.089
3.355 0.844 0.508
0.000 0.000 0.000
```

***

Result of the stability comparison: P is the most stable of them.

***

P.
The following is a PBE-GGA calculation of crystalline CrC3 at its relaxed geometry, from Alexandria via LeMat-Bulk.

## Properties
As for the space group: Pm-3m (221).

POSCAR file:
```
CrC3
1.0
3.121 0.000 0.000
0.000 3.121 0.000
0.000 0.000 3.121
C Cr
3 1
Cartesian
1.561 0.000 1.561
1.561 1.561 0.000
0.000 1.561 1.561
0.000 0.000 0.000
```

***

Q.
The following is a PBE-GGA calculation of crystalline CrC3 at its relaxed geometry, from Alexandria via LeMat-Bulk.

## Properties
As for the space group: Pnma (62).

POSCAR file:
```
CrC3
1.0
-1.355 -2.514 -3.193
5.251 -2.702 -0.101
-1.792 -3.617 3.608
C Cr
12 4
Cartesian
-0.526 -1.866 -1.985
1.710 -4.260 -1.390
0.969 -5.449 -1.066
1.135 -3.384 1.379
2.630 -6.968 2.299
3.461 -5.289 0.625
0.393 -4.574 1.703
0.303 -5.063 3.054
3.157 -5.668 1.979
-1.358 -3.544 -0.311
1.800 -3.771 -2.740
-1.053 -3.166 -1.665
0.240 -2.077 0.069
2.878 -3.404 0.048
1.863 -6.757 0.245
-0.775 -5.430 0.265
```

***

R.
The following is a PBE-GGA calculation of crystalline CrC3 at its relaxed geometry, from Alexandria via LeMat-Bulk.

## Properties
As for the space group: P6_3/mmc (194).

POSCAR file:
```
CrC3
1.0
2.058 -3.565 0.000
2.058 3.565 0.000
0.000 0.000 5.173
C Cr
6 2
Cartesian
2.058 2.029 3.879
1.330 -0.768 1.293
1.330 0.768 3.879
2.058 -2.029 1.293
2.786 -0.768 1.293
2.786 0.768 3.879
2.058 -1.188 3.879
2.058 1.188 1.293
```

***

Result of the stability comparison: Q is the most stable of them.

***

P.
The following is a PBE-GGA calculation of crystalline CrC3 at its relaxed geometry, from Alexandria via LeMat-Bulk.

## Properties
As for the space group: Immm (71).

POSCAR file:
```
CrC3
1.0
3.751 0.005 -0.004
0.950 3.629 0.004
-1.745 -2.600 2.065
Cr C
1 3
Cartesian
1.003 -1.298 1.031
0.857 0.663 0.000
3.844 2.971 0.000
-0.397 0.514 1.034
```

***

Q.
The following is a PBE-GGA calculation of crystalline CrC3 at its relaxed geometry, from Alexandria via LeMat-Bulk.

## Properties
As for the space group: P2/m (10).

POSCAR file:
```
CrC3
1.0
2.544 0.000 0.000
0.000 3.175 -0.022
0.000 0.969 3.607
Cr C
1 3
Cartesian
1.272 1.036 0.896
0.000 2.595 0.146
0.000 2.652 1.625
1.272 3.108 2.689
```

***

Result of the stability comparison: Q is the most stable of them.

***

P.
The following is a PBE-GGA calculation of crystalline Cr4C at its relaxed geometry, from Alexandria via LeMat-Bulk.

## Properties
As for the space group: Im-3m (229).

POSCAR file:
```
Cr4C
1.0
-2.414 2.414 2.414
2.414 -2.414 2.414
2.414 2.414 -2.414
C Cr
1 4
Cartesian
0.000 0.000 0.000
1.207 -1.207 1.207
-1.207 1.207 1.207
1.207 1.207 -1.207
1.207 1.207 1.207
```

***

Q.
The following is a PBE-GGA calculation of crystalline Cr4C at its relaxed geometry, from Alexandria via LeMat-Bulk.

## Properties
As for the space group: I4/m (87).

POSCAR file:
```
Cr4C
1.0
-3.175 3.175 1.284
3.175 -3.175 1.284
3.175 3.175 -1.284
Cr C
4 1
Cartesian
1.514 2.805 0.000
3.545 1.514 0.000
1.661 0.370 1.284
-0.370 1.661 1.284
0.000 0.000 0.000
```

***

R.
The following is a PBE-GGA calculation of crystalline Cr4C at its relaxed geometry, from Alexandria via LeMat-Bulk.

## Properties
As for the space group: I4/mmm (139).

POSCAR file:
```
Cr4C
1.0
-1.463 1.463 6.679
1.463 -1.463 6.679
1.463 1.463 -6.679
Cr C
4 1
Cartesian
0.000 0.000 5.605
1.463 0.000 3.340
0.000 1.463 3.340
0.000 0.000 7.754
0.000 0.000 0.000
```

***

S.
The following is a PBE-GGA calculation of crystalline Cr4C at its relaxed geometry, from Alexandria via LeMat-Bulk.

## Properties
As for the space group: Pm-3m (221).

POSCAR file:
```
Cr4C
1.0
-3.220 0.427 2.022
0.724 -3.273 1.844
1.936 1.934 2.674
Cr C
4 1
Cartesian
1.330 -0.669 2.259
-1.248 -1.423 1.933
-0.642 1.181 2.348
0.000 0.000 0.000
-0.280 -0.456 3.270
```

***

Result of the stability comparison: S is the most stable of them.

***

P.
The following is a PBE-GGA calculation of crystalline Cr3C2 at its relaxed geometry, from Alexandria via LeMat-Bulk.

## Properties
As for the space group: R-3c (167).

POSCAR file:
```
Cr3C2
1.0
4.890 0.000 0.000
2.445 4.235 0.000
2.445 1.412 4.579
Cr C
6 4
Cartesian
3.217 2.748 1.145
4.118 1.337 3.435
6.563 2.898 3.435
5.791 1.412 1.145
3.988 4.235 3.435
5.662 4.310 1.145
2.445 1.412 2.437
7.335 4.235 2.142
4.890 2.823 4.432
4.890 2.823 0.147
```

***

Q.
The following is a PBE-GGA calculation of crystalline Cr3C2 at its relaxed geometry, from Alexandria via LeMat-Bulk.

## Properties
As for the space group: Pnma (62).

POSCAR file:
```
Cr3C2
1.0
2.785 0.000 0.000
0.000 7.934 0.000
0.000 0.000 7.951
C Cr
8 12
Cartesian
0.696 1.394 3.684
0.696 3.988 2.416
0.696 7.913 6.391
0.696 2.573 7.659
2.089 6.540 4.267
2.089 5.361 0.292
2.089 3.946 5.535
2.089 0.021 1.560
2.089 5.452 2.333
0.696 1.485 1.642
0.696 6.888 0.498
2.089 3.421 0.916
0.696 7.388 3.060
2.089 2.922 3.477
2.089 6.449 6.309
0.696 4.512 7.035
0.696 2.482 5.618
2.089 1.045 7.453
2.089 0.545 4.891
0.696 5.012 4.474
```

***

R.
The following is a PBE-GGA calculation of crystalline Cr3C2 at its relaxed geometry, from Alexandria via LeMat-Bulk.

## Properties
As for the space group: R-3m (166).

POSCAR file:
```
Cr3C2
1.0
-5.742 3.003 -2.019
-4.690 1.974 -4.491
-6.201 0.258 -2.746
C Cr
2 3
Cartesian
-6.570 2.068 -3.656
-10.063 3.168 -5.600
0.000 0.000 0.000
-3.683 1.159 -2.049
-12.951 4.076 -7.207
```

***

Result of the stability comparison: Q is the most stable of them.